Computed, not measured: a relaxed CuPtAu2 crystal at the PBE level of DFT.

## Properties
uncorrected energy	-4.150	eV/atom
formation energy from the elements	23	meV per atom
energy above the lowest structure with this stoichiometry	70	meV per atom
crystal system	trigonal

abc: 2.8450 2.8450 27.5341
angles: 90.00 90.00 120.00
With the nearest neighbours (Å) after each atom.
Space group R3m (No. 160, hexagonal axes)
One atom of each set of equivalent atoms:
Cu 0.0000 0.0000 0.0000  6 Au 2.71-2.72, 6 Cu 2.84
Pt 0.0000 0.0000 0.1671  6 Pt 2.84, 6 Au 2.92-2.94
Au 0.0000 0.0000 0.5883  3 Cu 2.71, 6 Au 2.84, 3 Pt 2.92
Au 0.0000 0.0000 0.7454  3 Cu 2.72, 6 Au 2.84, 3 Pt 2.94